1.
Here is a relaxed structure of RbSrNpO6 from the Alexandria database. Energies are from GGA-PBE.

Summary:
The formation energy from raw total energies comes out at -2.05 eV per atom.

```
RbSrNpO6
1.0
-1.633 -5.799 2.293
3.066 -5.190 -1.336
2.607 0.570 3.757
O Np Sr Rb
6 1 1 1
Cartesian
1.324 -5.018 0.752
1.644 -1.887 0.618
1.598 -4.551 3.838
3.522 -3.867 1.612
-0.207 -3.352 2.370
2.060 -1.663 2.911
1.671 -3.469 2.017
1.608 -10.876 1.227
2.941 -6.988 3.513
```

2.
Here is a relaxed structure of Rb2Sr2NpO6 from the Alexandria database. Energies are from GGA-PBE.

Summary:
The formation energy from raw total energies comes out at -2.57 eV per atom.

```
Rb2Sr2NpO6
1.0
-0.100 0.972 -6.165
-4.396 -3.638 2.531
-2.437 6.167 2.065
Sr Rb O Np
2 2 6 1
Cartesian
-4.168 0.997 0.636
-2.764 2.503 -2.205
-0.824 0.194 -4.699
-3.671 -2.861 1.064
-3.115 2.947 1.937
-1.772 1.427 -0.119
-1.876 4.278 -0.572
-5.160 2.073 -1.450
-5.057 -0.778 -0.996
-3.817 0.553 -3.506
-1.219 3.083 1.033
```

3.
Here is a relaxed structure of RbNp2TaO8 from the Alexandria database. Energies are from GGA-PBE.

Summary:
The formation energy from raw total energies comes out at -2.61 eV per atom.

```
RbNp2TaO8
1.0
-3.931 -2.289 -2.278
2.961 -2.101 -3.561
0.885 -5.995 3.875
Np Rb O Ta
2 1 8 1
Cartesian
0.202 -6.678 0.114
-0.287 -3.707 -2.078
0.443 -2.997 1.938
1.736 -3.263 -2.523
-2.356 -3.375 -1.764
0.595 -7.196 2.151
-1.822 -7.122 0.558
2.271 -7.010 -0.201
0.070 -4.267 -0.231
-0.156 -6.118 -1.734
-0.681 -3.189 -4.116
0.000 0.000 0.000
```

4.
Here is a relaxed structure of Rb2NpTa3O12 from the Alexandria database. Energies are from GGA-PBE.

Summary:
The formation energy from raw total energies comes out at -2.67 eV per atom.

```
Rb2NpTa3O12
1.0
7.637 0.127 0.090
3.883 6.578 0.090
3.883 2.260 6.178
Ta O Rb Np
3 12 2 1
Cartesian
3.819 0.064 0.045
1.941 3.289 0.045
1.941 1.130 3.089
11.999 6.984 2.127
11.999 4.316 5.889
5.855 6.105 4.330
9.679 8.302 5.889
3.403 4.649 0.471
3.403 1.981 4.232
9.548 2.860 2.029
8.200 4.773 0.528
7.202 4.192 5.831
5.724 0.663 0.471
8.200 2.076 4.330
7.202 6.889 2.029
6.033 3.512 2.491
9.370 5.454 3.868
0.000 0.000 0.000
```

5.
Here is a relaxed structure of Rb2TbNp3O12 from the Alexandria database. Energies are from GGA-PBE.

Summary:
The formation energy from raw total energies comes out at -2.74 eV per atom.

```
Rb2TbNp3O12
1.0
-2.688 6.474 3.373
0.187 0.448 7.764
5.133 4.839 3.279
O Np Tb Rb
12 3 1 2
Cartesian
-0.846 7.655 6.561
-0.558 8.072 11.442
4.008 7.118 11.387
-1.360 5.117 7.913
0.303 1.126 5.592
-1.376 4.643 3.029
3.478 4.106 7.855
2.329 10.635 8.824
0.933 3.928 9.277
3.992 6.644 6.503
1.699 7.833 5.139
3.190 3.689 2.974
-1.344 3.237 1.687
2.566 2.420 1.639
0.094 0.224 3.882
0.000 0.000 0.000
1.645 7.350 9.009
0.987 4.411 5.407
```

6.
Here is a relaxed structure of Rb4Tb3NpO8 from the Alexandria database. Energies are from GGA-PBE.

Summary:
The formation energy from raw total energies comes out at -2.54 eV per atom.

```
Rb4Tb3NpO8
1.0
-6.908 0.894 -1.389
-1.801 -3.750 6.545
4.270 5.648 0.558
Tb O Rb Np
3 8 4 1
Cartesian
-4.355 -1.428 2.578
-2.220 1.396 2.857
1.235 0.949 3.551
-5.721 -0.242 1.073
1.282 3.034 4.641
-0.849 0.216 4.362
-3.590 2.577 1.351
-0.137 2.134 2.054
-4.302 0.659 3.659
-2.274 -0.688 1.766
-2.165 3.481 3.947
-1.319 3.271 -0.416
-3.454 0.447 -0.695
2.135 2.824 0.279
0.000 0.000 0.000
-0.901 -1.875 3.272
```

7.
Here is a relaxed structure of Rb3TbNp2O9 from the Alexandria database. Energies are from GGA-PBE.

Summary:
The formation energy from raw total energies comes out at -2.69 eV per atom.

```
Rb3TbNp2O9
1.0
-1.210 3.144 -5.131
-4.039 -4.117 2.102
-3.345 5.362 4.075
O Rb Np Tb
9 3 2 1
Cartesian
-2.625 -0.486 -1.515
-5.884 3.569 -0.097
-4.612 -1.117 2.132
-3.982 5.507 -1.087
-0.605 1.572 -2.566
-5.182 0.363 -0.284
-2.711 0.821 1.143
-3.412 4.026 1.329
-2.020 -2.058 1.051
-3.280 2.530 -1.348
0.000 0.000 0.000
-5.315 1.860 2.393
-4.944 5.197 0.679
-3.651 -0.808 0.366
-1.672 2.681 2.037
```

8.
Here is a relaxed structure of RbTbNpO6 from the Alexandria database. Energies are from GGA-PBE.

Summary:
The formation energy from raw total energies comes out at -2.47 eV per atom.

```
RbTbNpO6
1.0
-7.092 2.777 1.924
-0.021 -4.696 6.701
5.954 5.078 -1.419
O Tb Rb Np
12 2 2 2
Cartesian
-4.238 0.303 5.640
-3.309 0.631 2.930
0.575 3.836 2.245
-1.734 -0.677 4.961
0.764 -2.182 5.967
-1.923 5.341 1.239
2.150 2.528 4.276
3.067 0.090 5.513
-1.722 2.089 1.014
3.079 2.856 1.566
0.563 1.070 6.192
-4.225 3.069 1.693
-0.569 3.927 0.253
2.977 2.539 -0.709
0.486 -0.331 2.268
-1.644 3.490 4.938
-3.556 -0.960 4.312
-3.546 1.388 0.962
```

9.
Here is a relaxed structure of Rb2NpTcO6 from the Alexandria database. Energies are from GGA-PBE.

Summary:
The formation energy from raw total energies comes out at -2.01 eV per atom.

```
Rb2NpTcO6
1.0
5.803 0.000 0.000
0.000 5.804 0.000
2.901 2.902 5.558
Rb O Tc Np
2 6 1 1
Cartesian
2.901 5.804 2.780
5.803 2.902 2.777
7.124 4.482 5.558
5.803 5.804 1.880
7.125 7.126 5.558
1.579 1.580 0.000
1.580 4.224 0.000
2.901 2.902 3.678
2.901 2.902 0.000
2.901 2.902 5.558
```

10.
Here is a relaxed structure of RbNpTc2O8 from the Alexandria database. Energies are from GGA-PBE.

Summary:
The formation energy from raw total energies comes out at -1.84 eV per atom.

```
RbNpTc2O8
1.0
-5.456 2.463 0.294
1.349 -3.771 -4.458
-2.536 -6.149 4.433
O Np Tc Rb
8 1 2 1
Cartesian
-2.106 -4.980 1.513
-1.523 -6.845 -0.740
-3.271 0.182 -1.144
-4.537 -2.477 -1.244
-5.120 -0.613 1.009
-2.433 -1.884 0.783
-4.210 -5.573 -0.514
-3.372 -7.639 1.413
-1.268 -3.074 2.217
-2.818 -6.298 0.446
-3.825 -1.160 -0.177
0.000 0.000 0.000
```

11.
Here is a relaxed structure of RbNpTcO6 from the Alexandria database. Energies are from GGA-PBE.

Summary:
The formation energy from raw total energies comes out at -2.12 eV per atom.

```
RbNpTcO6
1.0
7.809 0.000 0.000
0.000 7.304 0.000
-3.904 -3.652 5.338
Rb O Tc Np
2 12 2 2
Cartesian
0.000 1.826 1.413
3.904 1.826 3.925
3.904 -1.826 3.497
0.000 5.478 1.841
1.404 -0.346 3.987
5.309 -0.346 1.351
-1.404 3.998 3.987
5.309 3.998 1.351
0.000 1.826 4.894
-1.404 -0.346 3.987
2.500 3.998 1.351
3.904 1.826 0.444
1.404 3.998 3.987
2.500 -0.346 1.351
3.904 3.652 0.000
3.904 0.000 0.000
1.952 -1.826 2.669
-1.952 -1.826 2.669
```

12.
Here is a relaxed structure of RbNpTeO5 from the Alexandria database. Energies are from GGA-PBE.

Summary:
The formation energy from raw total energies comes out at -1.96 eV per atom.

```
RbNpTeO5
1.0
6.415 -0.513 0.585
-2.363 5.985 0.585
-0.968 -1.308 7.992
Te O Rb Np
2 10 2 2
Cartesian
3.382 1.226 2.583
-0.299 2.939 6.579
-1.046 3.985 5.188
1.160 1.423 0.341
-2.128 5.306 2.583
2.545 3.294 4.825
1.923 2.741 8.821
4.601 0.817 1.192
-1.518 3.348 7.970
4.129 0.180 3.975
5.212 -1.141 6.579
0.538 0.871 4.337
2.696 0.722 6.579
0.388 3.443 2.583
0.000 0.000 0.000
-0.484 -0.654 3.996
```

Question: Number 1 is which compound?
Answer: RbSrNpO6

Question: formation energy from raw total energies of number 10 (RbNpTc2O8)?
Answer: -1.84 eV per atom

Question: Among the records above, which one has the highest formation energy from raw total energies?
Answer: RbNpTc2O8

Question: What is the formula in the fifth record?
Answer: Rb2TbNp3O12